Entry 1:
The following is a DFT calculation (PBE) of a relaxed structure of AlAgGe3.

Unit cell a=4.877 b=4.877 c=4.877 alpha=90.00 beta=90.00 gamma=90.00
Fractional positions:
Al (0.000, 0.000, 0.000)
Ag (0.500, 0.500, 0.500)
Ge (0.000, 0.000, 0.500)
Ge (0.000, 0.500, 0.000)
Ge (0.500, 0.000, 0.000)

Output
DFT total energy ... -3.45 eV/atom
ΔH_f (0 K) ... 0.635 eV/atom
Crystal system ... cubic
Symmetry ... Pm-3m, No. 221

Entry 2:
The following is a DFT calculation (PBE) of a relaxed structure of AlAgGe3.

Unit cell a=5.002 b=5.002 c=5.002 alpha=90.00 beta=90.00 gamma=90.00
Fractional positions:
Al (0.000, 0.000, 0.000)
Ag (0.500, 0.500, 0.500)
Ge (0.000, 0.500, 0.500)
Ge (0.500, 0.000, 0.500)
Ge (0.500, 0.500, 0.000)

Output
DFT total energy ... -3.28 eV/atom
ΔH_f (0 K) ... 0.812 eV/atom
Crystal system ... cubic
Symmetry ... Pm-3m, No. 221

Entry 3:
The following is a DFT calculation (PBE) of a relaxed structure of AlAg2Ge.

Unit cell a=2.985 b=2.985 c=9.016 alpha=99.01 beta=99.01 gamma=64.09
Fractional positions:
Al (0.000, 0.000, 0.000)
Ag (0.254, 0.254, 0.760)
Ag (0.746, 0.746, 0.240)
Ge (0.500, 0.500, 0.500)

Output
DFT total energy ... -3.44 eV/atom
ΔH_f (0 K) ... 0.077 eV/atom
Crystal system ... monoclinic
Symmetry ... C2/m, No. 12

Entry 4:
The following is a DFT calculation (PBE) of a relaxed structure of AlAg2Ge.

Unit cell a=4.050 b=4.050 c=4.304 alpha=90.00 beta=90.00 gamma=90.00
Fractional positions:
Al (0.000, 0.000, 0.000)
Ag (0.000, 0.500, 0.500)
Ag (0.500, 0.000, 0.500)
Ge (0.500, 0.500, 0.000)

Output
DFT total energy ... -3.42 eV/atom
ΔH_f (0 K) ... 0.095 eV/atom
Crystal system ... tetragonal
Symmetry ... P4/mmm, No. 123